The following is a PBE-GGA calculation of a relaxed RbHo4ScS8 crystal, from Alexandria.

Results
The value obtained for the magnetization is 0.00 μB per atom. Its uncorrected formation energy is -1.861 eV per atom. The total energy comes out at -6.05 eV per atom. The calculation puts the density at 4.5 g/cm³.

Unit cell a=8.288 b=8.288 c=8.031 alpha=58.93 beta=58.93 gamma=60.00
Element x y z (fractional)
S1 0.812 0.219 0.749
S2 0.226 0.756 0.261
S3 0.756 0.756 0.261
S4 0.219 0.219 0.749
S5 0.758 0.758 0.726
S6 0.756 0.226 0.261
S7 0.236 0.236 0.292
S8 0.219 0.812 0.749
Sc1 0.005 0.005 0.984
Ho1 0.485 0.007 0.502
Ho2 0.623 0.623 0.131
Ho3 0.007 0.007 0.502
Ho4 0.007 0.485 0.502
Rb1 0.390 0.390 0.830

***

The following is a PBE-GGA calculation of a relaxed SrTe2IBr crystal, from Alexandria.

Results
The value obtained for the magnetization is 0.00 μB per atom. Its uncorrected formation energy is -0.224 eV per atom. The total energy comes out at -2.46 eV per atom. The calculation puts the density at 4.8 g/cm³. The energy above the lowest structure with this stoichiometry comes out at 0.0 meV per atom.

Unit cell a=5.776 b=5.776 c=5.726 alpha=90.00 beta=90.00 gamma=90.00
Element x y z (fractional)
Sr1 0.500 0.500 0.500
Br1 0.000 0.000 0.000
Te1 0.500 0.000 0.000
Te2 0.000 0.500 0.000
I1 0.000 0.000 0.500